[1]
The following is a DFT calculation (PBE) of a relaxed Hf5Ta3Pt12 crystal.

Summary:
calculated volume: 1774 Å³ per cell
crystal system: cubic
total magnetic moment: 0.00 μB per cell
E_form: -364.5 meV/atom
density of states at the Fermi level: 0.674 states/eV per atom

Lattice parameters (Å, degrees): 13.209 13.209 13.209 109.47 109.47 109.47
Positions (direct):
Hf 0.000 0.000 0.000
Hf 0.000 0.000 0.500
Hf 0.000 0.500 0.000
Hf 0.000 0.500 0.500
Hf 0.125 0.750 0.875
Hf 0.125 0.875 0.250
Hf 0.250 0.125 0.875
Hf 0.250 0.625 0.375
Hf 0.375 0.250 0.625
Hf 0.375 0.625 0.750
Hf 0.500 0.000 0.000
Hf 0.500 0.000 0.500
Hf 0.500 0.500 0.000
Hf 0.500 0.500 0.500
Hf 0.625 0.375 0.250
Hf 0.625 0.750 0.375
Hf 0.750 0.375 0.625
Hf 0.750 0.875 0.125
Hf 0.875 0.125 0.750
Hf 0.875 0.250 0.125
Ta 0.125 0.250 0.375
Ta 0.125 0.375 0.750
Ta 0.250 0.375 0.125
Ta 0.250 0.875 0.625
Ta 0.375 0.125 0.250
Ta 0.375 0.750 0.125
Ta 0.625 0.250 0.875
Ta 0.625 0.875 0.750
Ta 0.750 0.125 0.375
Ta 0.750 0.625 0.875
Ta 0.875 0.625 0.250
Ta 0.875 0.750 0.625
Pt 0.068 0.232 0.143
Pt 0.068 0.336 0.925
Pt 0.075 0.643 0.411
Pt 0.075 0.932 0.664
Pt 0.089 0.732 0.664
Pt 0.089 0.857 0.425
Pt 0.143 0.068 0.232
Pt 0.143 0.575 0.911
Pt 0.164 0.232 0.589
Pt 0.164 0.432 0.575
Pt 0.232 0.143 0.068
Pt 0.232 0.589 0.164
Pt 0.268 0.336 0.911
Pt 0.268 0.432 0.357
Pt 0.336 0.911 0.268
Pt 0.336 0.925 0.068
Pt 0.357 0.268 0.432
Pt 0.357 0.589 0.925
Pt 0.411 0.075 0.643
Pt 0.411 0.836 0.768
Pt 0.425 0.089 0.857
Pt 0.425 0.836 0.568
Pt 0.432 0.357 0.268
Pt 0.432 0.575 0.164
Pt 0.568 0.425 0.836
Pt 0.568 0.643 0.732
Pt 0.575 0.164 0.432
Pt 0.575 0.911 0.143
Pt 0.589 0.164 0.232
Pt 0.589 0.925 0.357
Pt 0.643 0.411 0.075
Pt 0.643 0.732 0.568
Pt 0.664 0.075 0.932
Pt 0.664 0.089 0.732
Pt 0.732 0.568 0.643
Pt 0.732 0.664 0.089
Pt 0.768 0.411 0.836
Pt 0.768 0.857 0.932
Pt 0.836 0.568 0.425
Pt 0.836 0.768 0.411
Pt 0.857 0.425 0.089
Pt 0.857 0.932 0.768
Pt 0.911 0.143 0.575
Pt 0.911 0.268 0.336
Pt 0.925 0.068 0.336
Pt 0.925 0.357 0.589
Pt 0.932 0.664 0.075
Pt 0.932 0.768 0.857



[2]
The following is a DFT calculation (PBE) of a relaxed HfTaPtW crystal.

Summary:
calculated volume: 70 Å³ per cell
crystal system: cubic
total magnetic moment: 0.00 μB per cell
E_form: -371.8 meV/atom
density of states at the Fermi level: 1.049 states/eV per atom

Lattice parameters (Å, degrees): 4.629 4.629 4.629 60.00 60.00 60.00
Positions (direct):
Hf 0.000 0.000 0.000
Ta 0.500 0.500 0.500
Pt 0.750 0.750 0.750
W 0.250 0.250 0.250



[3]
The following is a DFT calculation (PBE) of a relaxed TbHfPt2 crystal.

Summary:
ΔE to the lowest computed polymorph: 95.9 meV/atom
calculated volume: 81 Å³ per cell
crystal system: tetragonal
total magnetic moment: 0.00 μB per cell
E_form: -1105.4 meV/atom
density of states at the Fermi level: 0.814 states/eV per atom

Lattice parameters (Å, degrees): 3.352 3.352 7.173 90.00 90.00 90.00
Positions (direct):
Tb 0.000 0.000 0.000
Hf 0.000 0.000 0.500
Pt 0.500 0.500 0.287
Pt 0.500 0.500 0.713



[4]
The following is a DFT calculation (PBE) of a relaxed Tb3HfPt12 crystal.

Summary:
calculated volume: 277 Å³ per cell
crystal system: tetragonal
total magnetic moment: 0.00 μB per cell
E_form: -1047.4 meV/atom
density of states at the Fermi level: 0.853 states/eV per atom

Lattice parameters (Å, degrees): 4.104 4.104 16.428 90.00 90.00 90.00
Positions (direct):
Tb 0.000 0.000 0.000
Tb 0.000 0.000 0.251
Tb 0.000 0.000 0.749
Hf 0.000 0.000 0.500
Pt 0.000 0.500 0.127
Pt 0.000 0.500 0.382
Pt 0.000 0.500 0.618
Pt 0.000 0.500 0.873
Pt 0.500 0.000 0.127
Pt 0.500 0.000 0.382
Pt 0.500 0.000 0.618
Pt 0.500 0.000 0.873
Pt 0.500 0.500 0.000
Pt 0.500 0.500 0.254
Pt 0.500 0.500 0.500
Pt 0.500 0.500 0.746



[5]
The following is a DFT calculation (PBE) of a relaxed TbHfPt2 crystal.

Summary:
ΔE to the lowest computed polymorph: 0.0 meV/atom
calculated volume: 166 Å³ per cell
crystal system: monoclinic
total magnetic moment: 0.00 μB per cell
E_form: -1201.2 meV/atom
density of states at the Fermi level: 0.716 states/eV per atom

Lattice parameters (Å, degrees): 5.480 4.406 7.237 90.00 108.61 90.00
Positions (direct):
Tb 0.223 0.250 0.429
Tb 0.777 0.750 0.571
Hf 0.214 0.250 0.932
Hf 0.786 0.750 0.068
Pt 0.308 0.750 0.176
Pt 0.328 0.750 0.736
Pt 0.672 0.250 0.264
Pt 0.692 0.250 0.824



[6]
The following is a DFT calculation (PBE) of a relaxed TbHfPt2 crystal.

Summary:
ΔE to the lowest computed polymorph: 113.8 meV/atom
calculated volume: 84 Å³ per cell
crystal system: trigonal
total magnetic moment: 0.00 μB per cell
E_form: -1087.4 meV/atom
density of states at the Fermi level: 0.814 states/eV per atom

Lattice parameters (Å, degrees): 5.298 5.298 5.298 51.52 51.52 51.52
Positions (direct):
Tb 0.000 0.000 0.000
Hf 0.500 0.500 0.500
Pt 0.218 0.218 0.218
Pt 0.782 0.782 0.782



[7]
The following is a DFT calculation (PBE) of a relaxed TbHfTcPt crystal.

Summary:
calculated volume: 76 Å³ per cell
crystal system: cubic
total magnetic moment: 0.00 μB per cell
E_form: -631.5 meV/atom
density of states at the Fermi level: 0.421 states/eV per atom

Lattice parameters (Å, degrees): 4.764 4.764 4.764 60.00 60.00 60.00
Positions (direct):
Tb 0.000 0.000 0.000
Hf 0.500 0.500 0.500
Tc 0.250 0.250 0.250
Pt 0.750 0.750 0.750



[8]
The following is a DFT calculation (PBE) of a relaxed Hf3TcPt crystal.

Summary:
ΔE to the lowest computed polymorph: 248.7 meV/atom
calculated volume: 122 Å³ per cell
crystal system: cubic
total magnetic moment: 0.75 μB per cell
E_form: 717.1 meV/atom
density of states at the Fermi level: 1.612 states/eV per atom

Lattice parameters (Å, degrees): 4.964 4.964 4.964 90.00 90.00 90.00
Positions (direct):
Hf 0.000 0.000 0.500
Hf 0.000 0.500 0.000
Hf 0.500 0.000 0.000
Tc 0.500 0.500 0.500
Pt 0.000 0.000 0.000



[9]
The following is a DFT calculation (PBE) of a relaxed Hf3Tc2Pt crystal.

Summary:
calculated volume: 106 Å³ per cell
crystal system: tetragonal
total magnetic moment: 0.00 μB per cell
E_form: -770.7 meV/atom
density of states at the Fermi level: 0.256 states/eV per atom

Lattice parameters (Å, degrees): 3.298 3.298 9.745 90.00 90.00 90.00
Positions (direct):
Hf 0.000 0.000 0.000
Hf 0.000 0.000 0.325
Hf 0.000 0.000 0.675
Tc 0.500 0.500 0.171
Tc 0.500 0.500 0.829
Pt 0.500 0.500 0.500



[10]
The following is a DFT calculation (PBE) of a relaxed Hf4Tc3Pt crystal.

Summary:
calculated volume: 140 Å³ per cell
crystal system: tetragonal
total magnetic moment: 0.00 μB per cell
E_form: -699.9 meV/atom
density of states at the Fermi level: 0.476 states/eV per atom

Lattice parameters (Å, degrees): 4.625 4.625 6.545 90.00 90.00 90.00
Positions (direct):
Hf 0.000 0.500 0.243
Hf 0.000 0.500 0.757
Hf 0.500 0.000 0.243
Hf 0.500 0.000 0.757
Tc 0.000 0.000 0.000
Tc 0.000 0.000 0.500
Tc 0.500 0.500 0.000
Pt 0.500 0.500 0.500



[11]
The following is a DFT calculation (PBE) of a relaxed Hf5Tc3Pt12 crystal.

Summary:
calculated volume: 1729 Å³ per cell
crystal system: cubic
total magnetic moment: 13.92 μB per cell
E_form: -90.9 meV/atom
density of states at the Fermi level: 0.354 states/eV per atom

Lattice parameters (Å, degrees): 13.095 13.095 13.095 109.47 109.47 109.47
Positions (direct):
Hf 0.000 0.000 0.000
Hf 0.000 0.000 0.500
Hf 0.000 0.500 0.000
Hf 0.000 0.500 0.500
Hf 0.125 0.750 0.875
Hf 0.125 0.875 0.250
Hf 0.250 0.125 0.875
Hf 0.250 0.625 0.375
Hf 0.375 0.250 0.625
Hf 0.375 0.625 0.750
Hf 0.500 0.000 0.000
Hf 0.500 0.000 0.500
Hf 0.500 0.500 0.000
Hf 0.500 0.500 0.500
Hf 0.625 0.375 0.250
Hf 0.625 0.750 0.375
Hf 0.750 0.375 0.625
Hf 0.750 0.875 0.125
Hf 0.875 0.125 0.750
Hf 0.875 0.250 0.125
Tc 0.125 0.250 0.375
Tc 0.125 0.375 0.750
Tc 0.250 0.375 0.125
Tc 0.250 0.875 0.625
Tc 0.375 0.125 0.250
Tc 0.375 0.750 0.125
Tc 0.625 0.250 0.875
Tc 0.625 0.875 0.750
Tc 0.750 0.125 0.375
Tc 0.750 0.625 0.875
Tc 0.875 0.625 0.250
Tc 0.875 0.750 0.625
Pt 0.069 0.233 0.143
Pt 0.069 0.336 0.925
Pt 0.075 0.643 0.411
Pt 0.075 0.931 0.664
Pt 0.089 0.733 0.664
Pt 0.089 0.857 0.425
Pt 0.143 0.069 0.233
Pt 0.143 0.575 0.911
Pt 0.164 0.233 0.589
Pt 0.164 0.431 0.575
Pt 0.233 0.143 0.069
Pt 0.233 0.589 0.164
Pt 0.267 0.336 0.911
Pt 0.267 0.431 0.357
Pt 0.336 0.911 0.267
Pt 0.336 0.925 0.069
Pt 0.357 0.267 0.431
Pt 0.357 0.589 0.925
Pt 0.411 0.075 0.643
Pt 0.411 0.836 0.767
Pt 0.425 0.089 0.857
Pt 0.425 0.836 0.569
Pt 0.431 0.357 0.267
Pt 0.431 0.575 0.164
Pt 0.569 0.425 0.836
Pt 0.569 0.643 0.733
Pt 0.575 0.164 0.431
Pt 0.575 0.911 0.143
Pt 0.589 0.164 0.233
Pt 0.589 0.925 0.357
Pt 0.643 0.411 0.075
Pt 0.643 0.733 0.569
Pt 0.664 0.075 0.931
Pt 0.664 0.089 0.733
Pt 0.733 0.569 0.643
Pt 0.733 0.664 0.089
Pt 0.767 0.411 0.836
Pt 0.767 0.857 0.931
Pt 0.836 0.569 0.425
Pt 0.836 0.767 0.411
Pt 0.857 0.425 0.089
Pt 0.857 0.931 0.767
Pt 0.911 0.143 0.575
Pt 0.911 0.267 0.336
Pt 0.925 0.069 0.336
Pt 0.925 0.357 0.589
Pt 0.931 0.664 0.075
Pt 0.931 0.767 0.857



[12]
The following is a DFT calculation (PBE) of a relaxed HfTc3Pt crystal.

Summary:
ΔE to the lowest computed polymorph: 0.0 meV/atom
calculated volume: 104 Å³ per cell
crystal system: cubic
total magnetic moment: 0.00 μB per cell
E_form: 1537.5 meV/atom
density of states at the Fermi level: 1.792 states/eV per atom

Lattice parameters (Å, degrees): 4.708 4.708 4.708 90.00 90.00 90.00
Positions (direct):
Hf 0.000 0.000 0.000
Tc 0.000 0.500 0.500
Tc 0.500 0.000 0.500
Tc 0.500 0.500 0.000
Pt 0.500 0.500 0.500



[13]
The following is a DFT calculation (PBE) of a relaxed Hf4Tc2Pt crystal.

Summary:
calculated volume: 136 Å³ per cell
crystal system: trigonal
total magnetic moment: 0.00 μB per cell
E_form: -519.5 meV/atom
density of states at the Fermi level: 0.480 states/eV per atom

Lattice parameters (Å, degrees): 7.927 7.927 7.927 33.58 33.58 33.58
Positions (direct):
Hf 0.120 0.120 0.120
Hf 0.371 0.371 0.371
Hf 0.629 0.629 0.629
Hf 0.880 0.880 0.880
Tc 0.248 0.248 0.248
Tc 0.752 0.752 0.752
Pt 0.500 0.500 0.500



[14]
The following is a DFT calculation (PBE) of a relaxed Hf3TcPt crystal.

Summary:
ΔE to the lowest computed polymorph: 0.0 meV/atom
calculated volume: 117 Å³ per cell
crystal system: cubic
total magnetic moment: 0.00 μB per cell
E_form: 468.4 meV/atom
density of states at the Fermi level: 0.992 states/eV per atom

Lattice parameters (Å, degrees): 4.897 4.897 4.897 90.00 90.00 90.00
Positions (direct):
Hf 0.000 0.000 0.500
Hf 0.000 0.500 0.000
Hf 0.500 0.000 0.000
Tc 0.000 0.000 0.000
Pt 0.500 0.500 0.500



[15]
The following is a DFT calculation (PBE) of a relaxed Hf2Tc2Pt crystal.

Summary:
calculated volume: 182 Å³ per cell
crystal system: tetragonal
total magnetic moment: 0.00 μB per cell
E_form: -315.9 meV/atom
density of states at the Fermi level: 0.944 states/eV per atom

Lattice parameters (Å, degrees): 6.820 6.820 3.905 90.00 90.00 90.00
Positions (direct):
Hf 0.181 0.319 0.000
Hf 0.319 0.819 0.000
Hf 0.681 0.181 0.000
Hf 0.819 0.681 0.000
Tc 0.122 0.622 0.500
Tc 0.378 0.122 0.500
Tc 0.622 0.878 0.500
Tc 0.878 0.378 0.500
Pt 0.000 0.000 0.500
Pt 0.500 0.500 0.500



[16]
The following is a DFT calculation (PBE) of a relaxed HfTcPt crystal.

Summary:
calculated volume: 105 Å³ per cell
crystal system: monoclinic
total magnetic moment: 0.00 μB per cell
E_form: -493.9 meV/atom
density of states at the Fermi level: 0.733 states/eV per atom

Lattice parameters (Å, degrees): 5.065 4.597 5.094 90.00 117.39 90.00
Positions (direct):
Hf 0.041 0.250 0.233
Hf 0.959 0.750 0.767
Tc 0.444 0.250 0.887
Tc 0.556 0.750 0.113
Pt 0.331 0.750 0.502
Pt 0.669 0.250 0.498



[17]
The following is a DFT calculation (PBE) of a relaxed HfTcPt3 crystal.

Summary:
ΔE to the lowest computed polymorph: 0.0 meV/atom
calculated volume: 108 Å³ per cell
crystal system: cubic
total magnetic moment: 0.00 μB per cell
E_form: 859.8 meV/atom
density of states at the Fermi level: 1.314 states/eV per atom

Lattice parameters (Å, degrees): 4.758 4.758 4.758 90.00 90.00 90.00
Positions (direct):
Hf 0.000 0.000 0.000
Tc 0.500 0.500 0.500
Pt 0.000 0.500 0.500
Pt 0.500 0.000 0.500
Pt 0.500 0.500 0.000



[18]
The following is a DFT calculation (PBE) of a relaxed HfTc3Pt crystal.

Summary:
ΔE to the lowest computed polymorph: 369.6 meV/atom
calculated volume: 100 Å³ per cell
crystal system: cubic
total magnetic moment: 0.00 μB per cell
E_form: 1907.2 meV/atom
density of states at the Fermi level: 1.230 states/eV per atom

Lattice parameters (Å, degrees): 4.648 4.648 4.648 90.00 90.00 90.00
Positions (direct):
Hf 0.000 0.000 0.000
Tc 0.000 0.000 0.500
Tc 0.000 0.500 0.000
Tc 0.500 0.000 0.000
Pt 0.500 0.500 0.500